1.
DFT (PBE) results for an optimized crystal structure of TaFePbW2.

Properties
**D(E_F)**: 7.5 states/eV per cell
**DFT total energy**: -40.16 eV per formula unit
**Energy of formation**: 1.955 eV per atom

abc: 4.8885 4.8885 4.6696
angles: 90.00 90.00 90.00
With the nearest neighbours (Å) after each atom.
Space group P4/mmm (No. 123)
Asymmetric unit:
Ta (0.0000, 0.0000, 0.0000)  2 Fe 2.33, 4 W 2.44
Fe (0.0000, 0.0000, 0.5000)  2 Ta 2.33
Pb (0.5000, 0.5000, 0.5000)  8 W 3.38, 4 Fe 3.46
W (0.0000, 0.5000, 0.0000)  2 Ta 2.44

2.
DFT (PBE) results for an optimized crystal structure of CaNi2Hg.

Properties
**D(E_F)**: 3.9 states/eV per cell
**DFT total energy**: -13.78 eV per formula unit
**Relative energy among the computed polymorphs**: 114 meV per atom
**Energy of formation**: 0.023 eV per atom

abc: 3.2339 3.2339 6.9458
angles: 90.00 90.00 90.00
With the nearest neighbours (Å) after each atom.
Space group P4mm (No. 99)
Asymmetric unit:
Ca (0.0000, 0.0000, 0.0000)  5 Ni 2.78-3.03
Ni (0.0000, 0.0000, 0.6001)  4 Ni 2.42
Ni (0.5000, 0.5000, 0.7148)  4 Ni 2.42, 1 Hg 2.66
Hg (0.5000, 0.5000, 0.3323)  5 Ni 2.66-2.95

3.
DFT (PBE) results for an optimized crystal structure of SrLaTe2N.

Properties
**D(E_F)**: 3.1 states/eV per cell
**E_form (uncorrected)**: -112 meV/atom
**DFT total energy**: -21.78 eV per formula unit
**Relative energy among the computed polymorphs**: 519 meV per atom

abc: 6.0673 6.0673 4.6375
angles: 90.00 90.00 90.00
With the nearest neighbours (Å) after each atom.
Space group P4/mmm (No. 123)
Asymmetric unit:
Sr (0.0000, 0.0000, 0.0000)  2 N 2.32
La (0.5000, 0.5000, 0.5000)  8 Te 3.82
Te (0.0000, 0.5000, 0.0000)  2 Sr 3.03
N (0.0000, 0.0000, 0.5000)  2 Sr 2.32